Density functional theory data (PBE+U) for a relaxed MnCdPO2 crystal.

Unit cell a=3.7638 b=3.7638 c=5.1987 alpha=90.00 beta=90.00 gamma=90.00
Sites, in units of the cell vectors:
Mn: 0.0000 0.0000 0.0000
Cd: 0.5000 0.5000 0.5000
P: 0.0000 0.0000 0.5000
O: 0.0000 0.5000 0.0000
O: 0.5000 0.0000 0.0000

Calculated values
* ΔE to the lowest computed polymorph: 0.000 kcal/mol of atoms